1:
The following is a DFT calculation (PBE) of crystalline Ba2Cd3Hg6 at its relaxed geometry.

Cell lengths 4.616, 8.776, 8.776 Å; angles 73.39, 90.00, 90.00 degrees
Atoms (fractional coordinates):
Ba: 0.000 0.291 0.709
Ba: 0.000 0.709 0.291
Cd: 0.000 0.242 0.242
Cd: 0.000 0.758 0.758
Cd: 0.500 0.000 0.000
Hg: 0.500 0.380 0.380
Hg: 0.500 0.620 0.620
Hg: 0.500 0.995 0.336
Hg: 0.500 0.005 0.664
Hg: 0.500 0.336 0.995
Hg: 0.500 0.664 0.005

Summary:
volume: 341 Å³ per cell
density of states at the Fermi level: 3.69 states/eV/f.u.
magnetization: 0.0 μB per cell

***

2:
The following is a DFT calculation (PBE) of crystalline Ba2Cd3Hg6 at its relaxed geometry.

Cell lengths 5.120, 8.727, 8.727 Å; angles 120.00, 90.00, 90.00 degrees
Atoms (fractional coordinates):
Ba: 0.000 0.667 0.333
Ba: 0.000 0.333 0.667
Cd: 0.500 0.352 0.352
Cd: 0.500 0.648 0.000
Cd: 0.500 0.000 0.648
Hg: 0.500 0.681 0.681
Hg: 0.500 0.000 0.319
Hg: 0.000 0.197 0.197
Hg: 0.000 0.803 0.000
Hg: 0.500 0.319 0.000
Hg: 0.000 0.000 0.803

Summary:
volume: 338 Å³ per cell
density of states at the Fermi level: 7.01 states/eV/f.u.
magnetization: 0.0 μB per cell

***

Most stable structure - 2; separation to the second - 15 meV per atom.